No. 1
This record from the Alexandria database describes a relaxed ZrInC crystal. The functional is PBE.

* calculated formation energy: -83 meV per atom
* final energy: -6.9197 eV/atom

Unit cell a=3.8264 b=3.8264 c=29.3255 alpha=90.00 beta=90.00 gamma=120.00
Space group R-3m (No. 166, hexagonal axes)
Unique sites:
Zr (0.0000, 0.0000, 0.1269) (multiplicity 6)
In (0.0000, 0.0000, 0.2923) (multiplicity 6)
C (0.0000, 0.0000, 0.2027) (multiplicity 6)

***

No. 2
This record from the Alexandria database describes a relaxed CuRh2Br crystal. The functional is PBE.

* polymorph energy (0 for the lowest one): 0.211 eV/atom
* final energy: -4.5811 eV/atom

Unit cell a=6.066 b=6.680 c=2.986 alpha=90.00 beta=90.00 gamma=90.00
Space group Cmmm (No. 65)
Unique sites:
Cu (0.000, 0.000, 0.000) (multiplicity 2)
Rh (0.250, 0.250, 0.500) (multiplicity 4)
Br (0.000, 0.500, 0.000) (multiplicity 2)

***

No. 3
This record from the Alexandria database describes a relaxed Zn3AgC4O12 crystal. The functional is PBE.

* final energy: -6.3785 eV/atom

Unit cell a=9.6667 b=9.6667 c=7.9393 alpha=90.00 beta=90.00 gamma=120.00
Space group R32 (No. 155, hexagonal axes)
Unique sites:
Zn (0.0000, 0.5368, 0.0000) (multiplicity 9)
Ag (0.0000, 0.0000, 0.0000) (multiplicity 3)
C (0.0000, 0.0000, 0.5000) (multiplicity 3)
C (0.0000, 0.4618, 0.5000) (multiplicity 9)
O (0.0000, 0.5956, 0.5000) (multiplicity 9)
O (0.0000, 0.8659, 0.5000) (multiplicity 9)
O (0.0043, 0.2039, 0.1821) (multiplicity 18)

***

no.,magnetic moment (μB/cell)
1,0.00
2,0.00
3,2.29